A relaxed structure of Zn2InNi. Source: the Alexandria database, functional PBE.

Uncorrected energy in eV/cell: -21.43
Crystal system: orthorhombic
Energy of formation from the pure elements in eV per atom: 0.089
V in Å³ per atom: 15.87

Structure (CIF):
```
data_Zn2InNi
_space_group_name_H-M_alt 'C m m m'
_space_group_IT_number 65
_space_group_name_Hall '-C 2 2'
_cell_length_a 5.382
_cell_length_b 7.762
_cell_length_c 3.039
_cell_angle_alpha 90.00
_cell_angle_beta 90.00
_cell_angle_gamma 90.00
loop_
_atom_site_label
_atom_site_fract_x
_atom_site_fract_y
_atom_site_fract_z
Zn1 0.250 0.250 0.000
In1 0.000 0.000 0.500
Ni1 0.000 0.500 0.500
```


A relaxed structure of TmCuBi. Source: the Alexandria database, functional PBE.

Uncorrected energy in eV/cell: -13.50
Crystal system: trigonal
Energy of formation from the pure elements in eV per atom: -0.352
V in Å³ per atom: 23.54

Structure (CIF):
```
data_TmCuBi
_space_group_name_H-M_alt 'P 3 m 1'
_space_group_IT_number 156
_cell_length_a 4.3898
_cell_length_b 4.3898
_cell_length_c 4.2310
_cell_angle_alpha 90.00
_cell_angle_beta 90.00
_cell_angle_gamma 120.00
loop_
_space_group_symop_operation_xyz
'x,y,z'
'-y,x-y,z'
'-x+y,-x,z'
'-y,-x,z'
'-x+y,y,z'
'x,x-y,z'
loop_
_atom_site_label
_atom_site_fract_x
_atom_site_fract_y
_atom_site_fract_z
Tm1 0.0000 0.0000 0.0000
Cu1 0.3333 0.6667 0.3312
Bi1 0.6667 0.3333 0.5271
```


A relaxed structure of GdRhC. Source: the Alexandria database, functional PBE.

Uncorrected energy in eV/cell: -31.24
Crystal system: trigonal
Energy of formation from the pure elements in eV per atom: -0.196
V in Å³ per atom: 16.12

Structure (CIF):
```
data_GdRhC
_space_group_name_H-M_alt 'P 3 m 1'
_space_group_IT_number 156
_cell_length_a 3.3535
_cell_length_b 3.3535
_cell_length_c 4.9648
_cell_angle_alpha 90.00
_cell_angle_beta 90.00
_cell_angle_gamma 120.00
loop_
_space_group_symop_operation_xyz
'x,y,z'
'-y,x-y,z'
'-x+y,-x,z'
'-y,-x,z'
'-x+y,y,z'
'x,x-y,z'
loop_
_atom_site_label
_atom_site_fract_x
_atom_site_fract_y
_atom_site_fract_z
Gd1 0.0000 0.0000 0.0000
Rh1 0.6667 0.3333 0.5313
C1 0.3333 0.6667 0.6822
```


A relaxed structure of CsS6I2. Source: the Alexandria database, functional PBE.

Uncorrected energy in eV/cell: -57.23
Crystal system: monoclinic
Energy relative to the elements, uncorrected in eV/atom: 0.01
V in Å³ per atom: 37.26

Structure (CIF):
```
data_CsS6I2
_space_group_name_H-M_alt 'C 1 2/m 1'
_space_group_IT_number 12
_cell_length_a 19.694
_cell_length_b 4.878
_cell_length_c 7.134
_cell_angle_alpha 90.00
_cell_angle_beta 101.91
_cell_angle_gamma 90.00
loop_
_space_group_symop_operation_xyz
'x,y,z'
'-x,-y,-z'
'-x,y,-z'
'x,-y,z'
'x+1/2,y+1/2,z'
'-x+1/2,-y+1/2,-z'
'-x+1/2,y+1/2,-z'
'x+1/2,-y+1/2,z'
loop_
_atom_site_label
_atom_site_fract_x
_atom_site_fract_y
_atom_site_fract_z
Cs1 0.000 0.000 0.000
S1 0.066 0.304 0.584
S2 0.164 0.000 0.303
I1 0.193 0.500 0.214
```


A relaxed structure of K2PaBO6. Source: the Alexandria database, functional PBE.

Uncorrected energy in eV/cell: -66.23
Crystal system: trigonal
Energy relative to the elements, uncorrected in eV/atom: -1.81
V in Å³ per atom: 16.85

Structure (CIF):
```
data_K2PaBO6
_space_group_name_H-M_alt 'P -3 m 1'
_space_group_IT_number 164
_space_group_name_Hall '-P 3 2"'
_cell_length_a 6.1089
_cell_length_b 6.1089
_cell_length_c 5.2147
_cell_angle_alpha 90.00
_cell_angle_beta 90.00
_cell_angle_gamma 120.00
loop_
_atom_site_label
_atom_site_fract_x
_atom_site_fract_y
_atom_site_fract_z
K1 0.3333 0.6667 0.1166
Pa1 0.0000 0.0000 0.5000
B1 0.0000 0.0000 0.0000
O1 0.1312 0.2624 0.8006
```


A relaxed structure of Ca2Al2CuPd5. Source: the Alexandria database, functional PBE.

Uncorrected energy in eV/cell: -95.75
Crystal system: tetragonal
Energy of formation from the pure elements in eV per atom: -0.633
V in Å³ per atom: 17.61

Structure (CIF):
```
data_Ca2Al2CuPd5
_space_group_name_H-M_alt 'P 4/m b m'
_space_group_IT_number 127
_space_group_name_Hall '-P 4 2ab'
_cell_length_a 10.095
_cell_length_b 10.095
_cell_length_c 3.455
_cell_angle_alpha 90.00
_cell_angle_beta 90.00
_cell_angle_gamma 90.00
loop_
_atom_site_label
_atom_site_fract_x
_atom_site_fract_y
_atom_site_fract_z
Ca1 0.174 0.326 0.000
Al1 0.127 0.627 0.000
Cu1 0.000 0.000 0.000
Pd1 0.000 0.500 0.500
Pd2 0.064 0.800 0.500
```


A relaxed structure of TlSiBr6. Source: the Alexandria database, functional PBE.

Uncorrected energy in eV/cell: -43.32
Crystal system: monoclinic
Energy relative to the elements, uncorrected in eV/atom: -0.48
V in Å³ per atom: 36.19

Structure (CIF):
```
data_TlSiBr6
_space_group_name_H-M_alt 'C 1 2/m 1'
_space_group_IT_number 12
_cell_length_a 7.012
_cell_length_b 12.689
_cell_length_c 6.871
_cell_angle_alpha 90.00
_cell_angle_beta 108.69
_cell_angle_gamma 90.00
loop_
_space_group_symop_operation_xyz
'x,y,z'
'-x,-y,-z'
'-x,y,-z'
'x,-y,z'
'x+1/2,y+1/2,z'
'-x+1/2,-y+1/2,-z'
'-x+1/2,y+1/2,-z'
'x+1/2,-y+1/2,z'
loop_
_atom_site_label
_atom_site_fract_x
_atom_site_fract_y
_atom_site_fract_z
Tl1 0.000 0.000 0.000
Si1 0.000 0.500 0.500
Br1 0.195 0.358 0.711
Br2 0.223 0.500 0.299
```


A relaxed structure of BaB4Pd3O12. Source: the Alexandria database, functional PBE.

Uncorrected energy in eV/cell: -404.14
Crystal system: trigonal
Energy relative to the elements, uncorrected in eV/atom: -1.55
V in Å³ per atom: 11.60

Structure (CIF):
```
data_BaB4Pd3O12
_space_group_name_H-M_alt 'R 3 2'
_space_group_IT_number 155
_space_group_name_Hall 'R 3 2"'
_cell_length_a 9.8449
_cell_length_b 9.8449
_cell_length_c 8.2916
_cell_angle_alpha 90.00
_cell_angle_beta 90.00
_cell_angle_gamma 120.00
loop_
_atom_site_label
_atom_site_fract_x
_atom_site_fract_y
_atom_site_fract_z
Ba1 0.0000 0.0000 0.0000
B1 0.0000 0.0000 0.5000
B2 0.0000 0.4417 0.5000
Pd1 0.0000 0.5513 0.0000
O1 0.0000 0.5874 0.5000
O2 0.0000 0.8584 0.5000
O3 0.0191 0.2118 0.2026
```


A relaxed structure of CaTl4Fe. Source: the Alexandria database, functional PBE.

Uncorrected energy in eV/cell: -69.00
Crystal system: cubic
Energy of formation from the pure elements in eV per atom: 0.446
V in Å³ per atom: 28.98

Structure (CIF):
```
data_CaTl4Fe
_space_group_name_H-M_alt 'F -4 3 m'
_space_group_IT_number 216
_space_group_name_Hall 'F -4 2 3'
_cell_length_a 8.860
_cell_length_b 8.860
_cell_length_c 8.860
_cell_angle_alpha 90.00
_cell_angle_beta 90.00
_cell_angle_gamma 90.00
loop_
_atom_site_label
_atom_site_fract_x
_atom_site_fract_y
_atom_site_fract_z
Ca1 0.000 0.000 0.000
Tl1 0.124 0.124 0.376
Fe1 0.250 0.250 0.750
```


A relaxed structure of VRh3Cl. Source: the Alexandria database, functional PBE.

Uncorrected energy in eV/cell: -28.94
Crystal system: cubic
Energy relative to the elements, uncorrected in eV/atom: 0.82
V in Å³ per atom: 16.87

Structure (CIF):
```
data_VRh3Cl
_space_group_name_H-M_alt 'P m -3 m'
_space_group_IT_number 221
_space_group_name_Hall '-P 4 2 3'
_cell_length_a 4.386
_cell_length_b 4.386
_cell_length_c 4.386
_cell_angle_alpha 90.00
_cell_angle_beta 90.00
_cell_angle_gamma 90.00
loop_
_atom_site_label
_atom_site_fract_x
_atom_site_fract_y
_atom_site_fract_z
V1 0.000 0.000 0.000
Rh1 0.000 0.500 0.500
Cl1 0.500 0.500 0.500
```


A relaxed structure of BeFe2Br. Source: the Alexandria database, functional PBE.

Uncorrected energy in eV/cell: -20.91
Crystal system: monoclinic
Energy relative to the elements, uncorrected in eV/atom: 0.35
V in Å³ per atom: 14.75

Structure (CIF):
```
data_BeFe2Br
_space_group_name_H-M_alt 'P 1 2/m 1'
_space_group_IT_number 10
_cell_length_a 3.111
_cell_length_b 2.896
_cell_length_c 6.548
_cell_angle_alpha 90.00
_cell_angle_beta 90.08
_cell_angle_gamma 90.00
loop_
_space_group_symop_operation_xyz
'x,y,z'
'-x,-y,-z'
'-x,y,-z'
'x,-y,z'
loop_
_atom_site_label
_atom_site_fract_x
_atom_site_fract_y
_atom_site_fract_z
Be1 0.000 0.000 0.000
Fe1 0.499 0.500 0.825
Br1 0.500 0.000 0.500
```


A relaxed structure of SrCrSe2. Source: the Alexandria database, functional PBE.

Uncorrected energy in eV/cell: -21.20
Crystal system: tetragonal
Energy relative to the elements, uncorrected in eV/atom: -0.73
V in Å³ per atom: 23.24

Structure (CIF):
```
data_SrCrSe2
_space_group_name_H-M_alt 'P 4/m m m'
_space_group_IT_number 123
_space_group_name_Hall '-P 4 2'
_cell_length_a 5.077
_cell_length_b 5.077
_cell_length_c 3.607
_cell_angle_alpha 90.00
_cell_angle_beta 90.00
_cell_angle_gamma 90.00
loop_
_atom_site_label
_atom_site_fract_x
_atom_site_fract_y
_atom_site_fract_z
Sr1 0.000 0.000 0.000
Cr1 0.500 0.500 0.000
Se1 0.000 0.500 0.500
```


> Which value of uncorrected energy does entry 7 give?

-43.32 eV/cell